No. 1
TcRu2Rh, optimized geometry, DFT GGA-PBEsol; D(E_F) = 3.73 states/eV/f.u.; DFT total energy = -9.915 eV/atom; symmetry = I4/mmm, No. 139
1.0
-0.8925 0.0039 -3.6959
0.2212 -3.7952 -0.0574
-3.2809 1.6717 2.7498
Ru Rh Tc
2 1 1
Direct
0.2500 0.7500 0.5000
0.7500 0.2500 0.5000
0.5000 0.5000 0.0000
0.0000 0.0000 0.0000

=====

No. 2
LiCo2Ag, optimized geometry, DFT GGA-PBEsol; D(E_F) = 3.81 states/eV/f.u.; DFT total energy = -4.942 eV/atom; symmetry = C2/m, No. 12
1.0
2.5863 0.0000 0.0000
0.0000 4.2347 -0.0017
-1.2932 -0.7682 4.4784
Li Ag Co
1 1 2
Direct
0.0000 0.5000 0.0000
0.5000 0.0000 0.0000
0.7520 0.7434 0.5040
0.2480 0.2566 0.4960

=====

No. 3
NiSb2Os, optimized geometry, DFT GGA-PBEsol; D(E_F) = 2.42 states/eV/f.u.; DFT total energy = -6.666 eV/atom; energy relative to the elements, uncorrected = 0.206 eV per atom; symmetry = P4mm, No. 99
1.0
-2.1143 -2.0828 1.0569
1.7812 -2.3600 -1.0877
3.6458 -0.3195 6.6637
Sb Ni Os
2 1 1
Direct
0.5000 0.5000 0.3416
0.0000 0.0000 0.9223
0.0000 0.0000 0.5185
0.5000 0.5000 0.7176

=====

No. 4
CaGeO2, optimized geometry, DFT GGA-PBEsol; DFT total energy = -6.084 eV/atom; energy relative to the elements, uncorrected = -1.692 eV per atom; symmetry = I-42d, No. 122
1.0
4.9716 0.0000 0.0000
0.0000 4.9716 0.0000
-2.4858 -2.4858 5.4532
O Ca Ge
4 2 2
Direct
0.1250 0.1133 0.7500
0.3633 0.8750 0.2500
0.6250 0.6367 0.7500
0.8867 0.3750 0.2500
0.7500 0.2500 0.5000
0.5000 0.5000 0.0000
0.2500 0.7500 0.5000
0.0000 0.0000 0.0000

=====

No. 5
GaAsSe2, optimized geometry, DFT GGA-PBEsol; D(E_F) = 1.52 states/eV/f.u.; DFT total energy = -3.985 eV/atom; energy relative to the elements, uncorrected = 0.052 eV per atom; symmetry = R-3m, No. 166
1.0
-1.8739 1.3079 2.8504
1.4668 -0.0857 3.3449
3.2738 8.1200 0.7677
Ga As Se
1 1 2
Direct
0.0000 0.0000 0.0000
0.5000 0.5000 0.5000
0.1047 0.1047 0.6859
0.8953 0.8953 0.3141

=====

No. 6
BeAl4Mo, optimized geometry, DFT GGA-PBEsol; D(E_F) = 3.83 states/eV/f.u.; DFT total energy = -5.142 eV/atom; symmetry = F-43m, No. 216
1.0
4.9898 0.0000 0.0000
2.4949 4.3213 0.0000
2.4949 1.4404 4.0741
Al Be Mo
4 1 1
Direct
0.3752 0.3752 0.8743
0.3752 0.8743 0.3752
0.8743 0.3752 0.3752
0.3752 0.3752 0.3752
0.7500 0.7500 0.7500
0.0000 0.0000 0.0000

=====

No. 7
CuPt, optimized geometry, DFT GGA-PBEsol; D(E_F) = 2.56 states/eV/f.u.; DFT total energy = -5.709 eV/atom; symmetry = Pnma, No. 62
1.0
-3.5527 -1.9928 -1.6307
-1.4139 -0.9903 4.2906
-2.6380 4.5543 0.1818
Cu Pt
4 4
Direct
0.7500 0.4125 0.8725
0.2500 0.5875 0.1275
0.7500 0.9125 0.6275
0.2500 0.0875 0.3725
0.7500 0.9080 0.1243
0.2500 0.0920 0.8757
0.2500 0.5920 0.6243
0.7500 0.4080 0.3757

=====

No. 8
ErAlNi, optimized geometry, DFT GGA-PBEsol; D(E_F) = 2.23 states/eV/f.u.; DFT total energy = -5.686 eV/atom; symmetry = P-62m, No. 189
1.0
3.8486 0.0000 0.0000
0.0000 6.7839 0.0000
0.0000 -3.3920 5.8750
Ni Al Er
3 3 3
Direct
0.5000 0.3333 0.6667
0.5000 0.6667 0.3333
0.0000 0.0000 0.0000
0.5000 0.0000 0.2372
0.5000 0.2372 0.0000
0.5000 0.7628 0.7628
0.0000 0.0000 0.5836
0.0000 0.4164 0.4164
0.0000 0.5836 0.0000

=====

No. 9
FeAs2BrF, optimized geometry, DFT GGA-PBEsol; D(E_F) = 5.05 states/eV/f.u.; DFT total energy = -4.521 eV/atom; energy relative to the elements, uncorrected = 0.074 eV per atom; symmetry = P4/mmm, No. 123
1.0
4.4116 0.0000 0.0000
0.0000 4.4116 0.0000
0.0000 0.0000 4.8540
Fe Br F As
1 1 1 2
Direct
0.0000 0.0000 0.0000
0.0000 0.0000 0.5000
0.5000 0.5000 0.5000
0.5000 0.0000 0.0000
0.0000 0.5000 0.0000

=====

No. 10
Y2MgS4, optimized geometry, DFT GGA-PBEsol; D(E_F) = 0.00 states/eV/f.u.; DFT total energy = -6.575 eV/atom; energy relative to the elements, uncorrected = -1.875 eV per atom; symmetry = Pnma, No. 62
1.0
-2.3007 1.8445 2.4063
-8.2722 1.6804 -9.1974
-5.8107 -11.3584 3.1510
S Mg Y
16 4 8
Direct
0.2500 0.4903 0.8838
0.7500 0.0097 0.3838
0.7500 0.4717 0.6163
0.2500 0.0283 0.1163
0.7500 0.7754 0.2528
0.2500 0.7246 0.7528
0.2500 0.7394 0.0157
0.2500 0.2246 0.7472
0.2500 0.9903 0.6162
0.2500 0.2394 0.4843
0.7500 0.2606 0.9843
0.7500 0.7606 0.5157
0.7500 0.9717 0.8837
0.2500 0.5283 0.3837
0.7500 0.2754 0.2472
0.7500 0.5097 0.1162
0.2500 0.3862 0.0512
0.2500 0.8862 0.4488
0.7500 0.1138 0.5512
0.7500 0.6138 0.9488
0.2500 0.1171 0.9233
0.7500 0.3829 0.4233
0.7500 0.8612 0.7052
0.7500 0.3612 0.7948
0.7500 0.8829 0.0767
0.2500 0.1388 0.2948
0.2500 0.6171 0.5767
0.2500 0.6388 0.2052

=====

No. 11
Co2Tc, optimized geometry, DFT GGA-PBEsol; D(E_F) = 4.03 states/eV/f.u.; DFT total energy = -8.941 eV/atom; symmetry = Pnma, No. 62
1.0
-1.7696 2.2938 2.7964
-3.0433 1.1837 -2.8968
-4.3204 -5.9183 2.1205
Tc Co
4 8
Direct
0.7500 0.8319 0.1583
0.2500 0.1681 0.8417
0.2500 0.6681 0.6583
0.7500 0.3319 0.3417
0.2500 0.1776 0.1664
0.2500 0.6776 0.3336
0.7500 0.3330 0.9983
0.7500 0.8224 0.8336
0.7500 0.8330 0.5017
0.2500 0.1670 0.4983
0.2500 0.6670 0.0017
0.7500 0.3224 0.6664

=====

No. 12
CaH2Pb, optimized geometry, DFT GGA-PBEsol; D(E_F) = 2.05 states/eV/f.u.; DFT total energy = -3.214 eV/atom; symmetry = I-42d, No. 122
1.0
5.1135 0.0000 0.0000
0.0000 5.1135 0.0000
-2.5567 -2.5567 5.4422
Ca H Pb
2 4 2
Direct
0.5000 0.5000 0.0000
0.7500 0.2500 0.5000
0.4245 0.8750 0.2500
0.6250 0.5755 0.7500
0.1250 0.1745 0.7500
0.8255 0.3750 0.2500
0.0000 0.0000 0.0000
0.2500 0.7500 0.5000

=====

Q: The highest DFT total energy belongs to which entry?
A: CaH2Pb

=====

Q: Look up the DFT total energy of the eleventh one.
A: -8.941 eV/atom

=====

Q: Which value of DFT total energy does entry 1 give?
A: -9.915 eV/atom